Record 1
La5Os3: optimized geometry, PBEsol.

Cell and atoms, written as POSCAR:
```
La5Os3
1.0
-2.457 -3.605 -4.900
4.773 -6.418 2.328
-7.645 0.877 3.189
La Os
10 6
Cartesian
-3.763 -2.483 -2.874
-6.339 -0.245 1.163
-3.994 -6.853 0.456
2.960 -5.707 0.518
0.633 -3.986 2.615
-0.595 -5.789 0.165
-3.506 -1.555 2.902
-4.734 -3.357 0.452
-1.336 -2.293 0.161
-0.644 -4.316 -3.090
-3.602 -0.559 0.021
-6.501 -2.169 -1.732
-2.364 -4.277 2.136
1.065 -6.614 -2.257
-2.965 -4.869 -1.519
1.251 -3.409 -0.315
```

Computed properties:
space group = P6_3/mcm (193)
DOS(E_F) = 6.44 states/eV/f.u.
energy relative to the elements = -24.1 meV per atom

Record 2
LaNiTeI2: optimized geometry, PBEsol.

Cell and atoms, written as POSCAR:
```
LaNiTeI2
1.0
-2.285 -3.822 -2.485
-1.330 -2.100 4.453
-4.473 2.712 -0.058
I Ni Te La
2 1 1 1
Cartesian
-0.665 -1.050 2.227
-1.143 -1.911 -1.243
0.000 0.000 0.000
-2.237 1.356 -0.029
-4.044 -1.605 0.955
```

Computed properties:
space group = P4/mmm (123)
formation energy without anion corrections = -0.585 eV per atom
DOS(E_F) = 0.63 states/eV/f.u.

Record 3
ScZn2Ir: optimized geometry, PBEsol.

Cell and atoms, written as POSCAR:
```
ScZn2Ir
1.0
-1.625 -0.929 2.308
-0.548 -4.164 -2.063
3.809 0.089 2.717
Ir Sc Zn
1 1 2
Cartesian
-0.812 -0.465 1.154
0.818 -2.502 1.481
-0.274 -2.082 -1.032
1.904 0.045 1.359
```

Computed properties:
space group = Cmmm (65)
DOS(E_F) = 1.40 states/eV/f.u.
energy relative to the elements = -267.3 meV per atom

Record 4
ZnPt2: optimized geometry, PBEsol.

Cell and atoms, written as POSCAR:
```
ZnPt2
1.0
2.758 0.000 0.000
-1.379 5.057 0.023
0.000 -2.158 6.233
Zn Pt
2 4
Cartesian
0.000 1.558 0.958
1.379 1.341 5.298
1.379 -1.344 5.136
0.000 0.280 3.348
1.379 2.620 2.908
0.000 4.244 1.120
```

Computed properties:
space group = C2/m (12)
DOS(E_F) = 2.05 states/eV/f.u.
energy relative to the elements = -338.0 meV per atom